# 1
## NdTm3Cu2 (GGA-PBE)

Data for a relaxed structure of NdTm3Cu2.

The space group is No. 123. The calculation puts the total energy at -27.44 eV for the cell shown. For the density of states at the Fermi level, the calculation gives 0.885 states/eV/atom. The calculation puts the total magnetic moment at 0.0000 μB per atom. The crystal system is tetragonal.

a b c (Å): 3.451 3.451 12.154
angles (deg): 90.00 90.00 90.00
Element x y z (fractional)
Nd (0.500, 0.500, 0.500)
Cu (0.500, 0.500, 0.859)
Cu (0.500, 0.500, 0.141)
Tm (0.000, 0.000, 0.277)
Tm (0.000, 0.000, 0.723)
Tm (0.000, 0.000, 0.000)

=====

# 2
## NdTm3Cu4 (GGA-PBE)

Data for a relaxed structure of NdTm3Cu4.

The space group is No. 123. The calculation puts the total energy at -73.06 eV for the cell shown. For the density of states at the Fermi level, the calculation gives 0.601 states/eV/atom. The calculation puts the total magnetic moment at 0.0000 μB per atom. The crystal system is tetragonal.

a b c (Å): 4.899 6.915 9.799
angles (deg): 90.00 90.00 90.00
Element x y z (fractional)
Cu (0.500, 0.236, 0.500)
Cu (0.500, 0.236, 0.000)
Cu (0.000, 0.764, 0.750)
Cu (0.000, 0.236, 0.750)
Cu (0.500, 0.764, 0.500)
Cu (0.500, 0.764, 0.000)
Cu (0.000, 0.764, 0.250)
Cu (0.000, 0.236, 0.250)
Tm (0.500, 0.500, 0.250)
Tm (0.500, 0.000, 0.750)
Tm (0.500, 0.000, 0.250)
Tm (0.000, 0.000, 0.000)
Tm (0.000, 0.000, 0.500)
Tm (0.500, 0.500, 0.750)
Nd (0.000, 0.500, 0.000)
Nd (0.000, 0.500, 0.500)

=====

# 3
## Nd2TmCu6 (GGA-PBE)

Data for a relaxed structure of Nd2TmCu6.

The space group is No. 191. The calculation puts the total energy at -40.60 eV for the cell shown. For the density of states at the Fermi level, the calculation gives 0.538 states/eV/atom. The calculation puts the total magnetic moment at 0.0000 μB per atom. The crystal system is hexagonal.

a b c (Å): 3.673 7.377 7.377
angles (deg): 120.00 90.00 90.00
Element x y z (fractional)
Cu (0.500, 0.000, 0.670)
Cu (0.500, 0.330, 0.330)
Cu (0.500, 0.000, 0.330)
Cu (0.500, 0.670, 0.000)
Cu (0.500, 0.330, 0.000)
Cu (0.500, 0.670, 0.670)
Nd (0.000, 0.333, 0.667)
Nd (0.000, 0.667, 0.333)
Tm (0.000, 0.000, 0.000)

=====

# 4
## Nd2TmCu2 (GGA-PBE)

Data for a relaxed structure of Nd2TmCu2.

The space group is No. 12. The calculation puts the total energy at -45.52 eV for the cell shown. For the density of states at the Fermi level, the calculation gives 0.893 states/eV/atom. The calculation puts the total magnetic moment at 0.0000 μB per atom. The crystal system is monoclinic.

a b c (Å): 4.648 6.382 9.235
angles (deg): 82.10 75.42 68.64
Element x y z (fractional)
Tm (0.800, 0.043, 0.357)
Tm (0.200, 0.957, 0.643)
Cu (0.875, 0.684, 0.566)
Cu (0.957, 0.176, 0.909)
Cu (0.125, 0.316, 0.434)
Cu (0.043, 0.824, 0.091)
Nd (0.321, 0.268, 0.091)
Nd (0.465, 0.379, 0.692)
Nd (0.535, 0.621, 0.308)
Nd (0.679, 0.732, 0.909)

=====

# 5
## NdYTmCu (GGA-PBE)

Data for a relaxed structure of NdYTmCu.

The space group is No. 99. The calculation puts the total energy at -20.23 eV for the cell shown. For the density of states at the Fermi level, the calculation gives 1.066 states/eV/atom. The calculation puts the total magnetic moment at 0.0000 μB per atom. The crystal system is tetragonal.

a b c (Å): 3.503 3.503 8.756
angles (deg): 90.00 90.00 90.00
Element x y z (fractional)
Nd (0.000, 0.000, 0.076)
Y (0.500, 0.500, 0.764)
Tm (0.500, 0.500, 0.381)
Cu (0.000, 0.000, 0.563)

=====

# 6
## NdTmZnCu (GGA-PBE)

Data for a relaxed structure of NdTmZnCu.

The space group is No. 99. The calculation puts the total energy at -15.68 eV for the cell shown. For the density of states at the Fermi level, the calculation gives 0.913 states/eV/atom. The calculation puts the total magnetic moment at 0.0090 μB per atom. The value obtained for the energy above the most stable polymorph in this dataset is 0.000 eV per atom. The crystal system is tetragonal.

a b c (Å): 3.537 3.537 7.174
angles (deg): 90.00 90.00 90.00
Element x y z (fractional)
Nd (0.000, 0.000, 0.860)
Zn (0.500, 0.500, 0.584)
Tm (0.000, 0.000, 0.347)
Cu (0.500, 0.500, 0.136)

=====

# 7
## Nd2TmZn12Cu3 (GGA-PBE)

Data for a relaxed structure of Nd2TmZn12Cu3.

The space group is No. 166. The calculation puts the total energy at -41.87 eV for the cell shown. For the density of states at the Fermi level, the calculation gives 0.509 states/eV/atom. The calculation puts the total magnetic moment at 0.0000 μB per atom. The crystal system is trigonal.

a b c (Å): 10.130 10.130 10.130
angles (deg): 37.38 37.38 37.38
Element x y z (fractional)
Cu (0.000, 0.000, 0.500)
Cu (0.500, 0.000, 0.000)
Cu (0.000, 0.500, 0.000)
Zn (0.720, 0.322, 0.322)
Zn (0.876, 0.464, 0.876)
Zn (0.322, 0.322, 0.720)
Zn (0.280, 0.678, 0.678)
Zn (0.678, 0.678, 0.280)
Zn (0.678, 0.280, 0.678)
Zn (0.124, 0.536, 0.124)
Zn (0.876, 0.876, 0.464)
Zn (0.322, 0.720, 0.322)
Zn (0.124, 0.124, 0.536)
Zn (0.464, 0.876, 0.876)
Zn (0.536, 0.124, 0.124)
Nd (0.643, 0.643, 0.643)
Nd (0.357, 0.357, 0.357)
Tm (0.000, 0.000, 0.000)

=====

# 8
## NdTmZnCu (GGA-PBE)

Data for a relaxed structure of NdTmZnCu.

The space group is No. 216. The calculation puts the total energy at -15.62 eV for the cell shown. For the density of states at the Fermi level, the calculation gives 0.514 states/eV/atom. The calculation puts the total magnetic moment at 0.0000 μB per atom. The value obtained for the energy above the most stable polymorph in this dataset is 0.013 eV per atom. The crystal system is cubic.

a b c (Å): 5.033 5.033 5.033
angles (deg): 60.00 60.00 60.00
Element x y z (fractional)
Nd (0.500, 0.500, 0.500)
Tm (0.000, 0.000, 0.000)
Cu (0.250, 0.250, 0.250)
Zn (0.750, 0.750, 0.750)

=====

# 9
## NdVCu (GGA-PBE)

Data for a relaxed structure of NdVCu.

The space group is No. 38. The calculation puts the total energy at -32.37 eV for the cell shown. For the density of states at the Fermi level, the calculation gives 1.077 states/eV/atom. The calculation puts the total magnetic moment at 0.9023 μB per atom. The crystal system is orthorhombic.

a b c (Å): 5.147 4.749 5.817
angles (deg): 90.00 90.00 122.81
Last column: magnetic moment on the atom in μB.
Element x y z (fractional)
Cu (0.426, 0.851, 0.500)  0.09
Cu (0.426, 0.851, 0.000)  0.09
Nd (0.775, 0.549, 0.250)  0.11
Nd (0.775, 0.549, 0.750)  0.11
V (0.133, 0.266, 0.250)  2.23
V (0.133, 0.266, 0.750)  2.23

=====

# 10
## Nd4YCu4 (GGA-PBE)

Data for a relaxed structure of Nd4YCu4.

The space group is No. 86. The calculation puts the total energy at -84.00 eV for the cell shown. For the density of states at the Fermi level, the calculation gives 1.082 states/eV/atom. The calculation puts the total magnetic moment at 0.0000 μB per atom. The crystal system is tetragonal.

a b c (Å): 6.428 8.538 8.538
angles (deg): 90.00 90.00 90.00
Element x y z (fractional)
Nd (0.402, 0.294, 0.910)
Nd (0.598, 0.090, 0.294)
Nd (0.098, 0.794, 0.410)
Nd (0.902, 0.590, 0.794)
Nd (0.098, 0.206, 0.590)
Nd (0.598, 0.910, 0.706)
Nd (0.402, 0.706, 0.090)
Nd (0.902, 0.410, 0.206)
Cu (0.849, 0.732, 0.123)
Cu (0.349, 0.623, 0.768)
Cu (0.151, 0.877, 0.732)
Cu (0.151, 0.123, 0.268)
Cu (0.349, 0.377, 0.232)
Cu (0.849, 0.268, 0.877)
Cu (0.651, 0.768, 0.377)
Cu (0.651, 0.232, 0.623)
Y (0.000, 0.000, 0.000)
Y (0.500, 0.500, 0.500)

=====

# 11
## NdY2Cu3 (GGA-PBE)

Data for a relaxed structure of NdY2Cu3.

The space group is No. 123. The calculation puts the total energy at -31.25 eV for the cell shown. For the density of states at the Fermi level, the calculation gives 0.494 states/eV/atom. The calculation puts the total magnetic moment at 0.0000 μB per atom. The crystal system is tetragonal.

a b c (Å): 3.505 3.505 10.618
angles (deg): 90.00 90.00 90.00
Element x y z (fractional)
Nd (0.500, 0.500, 0.500)
Y (0.500, 0.500, 0.163)
Y (0.500, 0.500, 0.837)
Cu (0.000, 0.000, 0.000)
Cu (0.000, 0.000, 0.321)
Cu (0.000, 0.000, 0.679)

=====

# 12
## NdY2Cu (GGA-PBE)

Data for a relaxed structure of NdY2Cu.

The space group is No. 11. The calculation puts the total energy at -44.08 eV for the cell shown. For the density of states at the Fermi level, the calculation gives 1.378 states/eV/atom. The calculation puts the total magnetic moment at 0.0000 μB per atom. The value obtained for the energy above the most stable polymorph in this dataset is 0.035 eV per atom. The crystal system is monoclinic.

a b c (Å): 5.023 6.460 7.475
angles (deg): 90.00 90.00 112.88
Element x y z (fractional)
Cu (0.196, 0.395, 0.250)
Cu (0.804, 0.605, 0.750)
Y (0.650, 0.300, 0.472)
Y (0.650, 0.300, 0.028)
Y (0.350, 0.700, 0.528)
Y (0.350, 0.700, 0.972)
Nd (0.046, 0.092, 0.750)
Nd (0.954, 0.908, 0.250)

=====

# 13
## NdYCu2 (GGA-PBE)

Data for a relaxed structure of NdYCu2.

The space group is No. 6. The calculation puts the total energy at -20.26 eV for the cell shown. For the density of states at the Fermi level, the calculation gives 0.767 states/eV/atom. The calculation puts the total magnetic moment at 0.0000 μB per atom. The value obtained for the energy above the most stable polymorph in this dataset is 0.000 eV per atom. The crystal system is monoclinic.

a b c (Å): 3.851 4.510 5.611
angles (deg): 90.00 110.60 90.00
Element x y z (fractional)
Y (0.442, 0.500, 0.425)
Cu (0.152, 0.500, 0.838)
Cu (0.011, 0.000, 0.565)
Nd (0.726, 0.000, 0.990)

=====

# 14
## NdY2Cu (GGA-PBE)

Data for a relaxed structure of NdY2Cu.

The space group is No. 160. The calculation puts the total energy at -21.71 eV for the cell shown. For the density of states at the Fermi level, the calculation gives 1.243 states/eV/atom. The calculation puts the total magnetic moment at 0.0001 μB per atom. The value obtained for the energy above the most stable polymorph in this dataset is 0.119 eV per atom. The crystal system is trigonal.

a b c (Å): 3.729 3.729 9.945
angles (deg): 79.20 79.20 60.00
Element x y z (fractional)
Y (0.268, 0.268, 0.195)
Y (0.065, 0.065, 0.806)
Cu (0.666, 0.666, 0.003)
Nd (0.501, 0.501, 0.496)

=====

# 15
## Nd2YCu6 (GGA-PBE)

Data for a relaxed structure of Nd2YCu6.

The space group is No. 191. The calculation puts the total energy at -42.61 eV for the cell shown. For the density of states at the Fermi level, the calculation gives 0.493 states/eV/atom. The calculation puts the total magnetic moment at 0.0000 μB per atom. The crystal system is hexagonal.

a b c (Å): 3.709 7.390 7.390
angles (deg): 120.00 90.00 90.00
Element x y z (fractional)
Cu (0.500, 0.331, 0.331)
Cu (0.500, 0.000, 0.331)
Cu (0.500, 0.669, 0.669)
Cu (0.500, 0.000, 0.669)
Cu (0.500, 0.331, 0.000)
Cu (0.500, 0.669, 0.000)
Nd (0.000, 0.333, 0.667)
Nd (0.000, 0.667, 0.333)
Y (0.000, 0.000, 0.000)

=====

# 16
## NdY5Cu6 (GGA-PBE)

Data for a relaxed structure of NdY5Cu6.

The space group is No. 10. The calculation puts the total energy at -64.37 eV for the cell shown. For the density of states at the Fermi level, the calculation gives 0.482 states/eV/atom. The calculation puts the total magnetic moment at 0.0000 μB per atom. The crystal system is monoclinic.

a b c (Å): 4.964 6.957 7.869
angles (deg): 90.00 71.47 90.00
Element x y z (fractional)
Y (0.666, 0.500, 0.668)
Y (0.000, 0.500, 0.000)
Y (0.334, 0.500, 0.332)
Y (0.332, 0.000, 0.336)
Y (0.668, 0.000, 0.664)
Cu (0.500, 0.258, 0.000)
Cu (0.170, 0.747, 0.661)
Cu (0.500, 0.742, 0.000)
Cu (0.830, 0.747, 0.339)
Cu (0.830, 0.253, 0.339)
Cu (0.170, 0.253, 0.661)
Nd (0.000, 0.000, 0.000)

=====

# 17
## NdY2Cu (GGA-PBE)

Data for a relaxed structure of NdY2Cu.

The space group is No. 62. The calculation puts the total energy at -88.64 eV for the cell shown. For the density of states at the Fermi level, the calculation gives 1.304 states/eV/atom. The calculation puts the total magnetic moment at 0.0000 μB per atom. The value obtained for the energy above the most stable polymorph in this dataset is 0.005 eV per atom. The crystal system is orthorhombic.

a b c (Å): 6.562 6.889 9.964
angles (deg): 90.00 90.00 90.00
Element x y z (fractional)
Y (0.679, 0.818, 0.941)
Y (0.821, 0.318, 0.941)
Y (0.179, 0.682, 0.059)
Y (0.821, 0.318, 0.559)
Y (0.679, 0.818, 0.559)
Y (0.321, 0.182, 0.059)
Y (0.179, 0.682, 0.441)
Y (0.321, 0.182, 0.441)
Nd (0.137, 0.990, 0.750)
Nd (0.863, 0.010, 0.250)
Nd (0.637, 0.510, 0.250)
Nd (0.363, 0.490, 0.750)
Cu (0.067, 0.393, 0.250)
Cu (0.933, 0.607, 0.750)
Cu (0.567, 0.107, 0.750)
Cu (0.433, 0.893, 0.250)

=====

# 18
## NdY2Cu (GGA-PBE)

Data for a relaxed structure of NdY2Cu.

The space group is No. 166. The calculation puts the total energy at -21.69 eV for the cell shown. For the density of states at the Fermi level, the calculation gives 1.472 states/eV/atom. The calculation puts the total magnetic moment at 0.0000 μB per atom. The value obtained for the energy above the most stable polymorph in this dataset is 0.124 eV per atom. The crystal system is trigonal.

a b c (Å): 3.676 3.676 10.139
angles (deg): 79.56 79.56 60.00
Element x y z (fractional)
Y (0.268, 0.268, 0.197)
Y (0.732, 0.732, 0.803)
Nd (0.500, 0.500, 0.500)
Cu (0.000, 0.000, 0.000)

=====

# 19
## NdYCu4 (GGA-PBE)

Data for a relaxed structure of NdYCu4.

The space group is No. 44. The calculation puts the total energy at -29.02 eV for the cell shown. For the density of states at the Fermi level, the calculation gives 0.546 states/eV/atom. The calculation puts the total magnetic moment at 0.0000 μB per atom. The value obtained for the energy above the most stable polymorph in this dataset is 0.000 eV per atom. The crystal system is orthorhombic.

a b c (Å): 4.326 5.539 5.539
angles (deg): 78.47 67.01 67.01
Element x y z (fractional)
Y (0.539, 0.461, 0.461)
Cu (0.836, 0.860, 0.468)
Cu (0.836, 0.468, 0.860)
Cu (0.166, 0.632, 0.036)
Cu (0.166, 0.036, 0.632)
Nd (0.457, 0.043, 0.043)

=====

# 20
## NdY4Cu5 (GGA-PBE)

Data for a relaxed structure of NdY4Cu5.

The space group is No. 123. The calculation puts the total energy at -53.35 eV for the cell shown. For the density of states at the Fermi level, the calculation gives 0.436 states/eV/atom. The calculation puts the total magnetic moment at 0.0000 μB per atom. The crystal system is tetragonal.

a b c (Å): 3.483 3.483 17.721
angles (deg): 90.00 90.00 90.00
Element x y z (fractional)
Y (0.000, 0.000, 0.599)
Y (0.000, 0.000, 0.401)
Y (0.000, 0.000, 0.203)
Y (0.000, 0.000, 0.797)
Cu (0.500, 0.500, 0.108)
Cu (0.500, 0.500, 0.892)
Cu (0.500, 0.500, 0.698)
Cu (0.500, 0.500, 0.302)
Cu (0.500, 0.500, 0.500)
Nd (0.000, 0.000, 0.000)